A plane-wave DFT calculation with PBE+U was carried out for a relaxed Mn2CdSnO crystal.

Calculated values
magnetization: 9.99 Bohr magnetons per cell
total DFT energy (no corrections): -4.54 eV per atom
theoretical density: 4.38 Mg/m³

Cell: 5.692 5.692 4.175 Å, 90.00 90.00 90.00°
Fractional coordinates of all 5 atoms:
Mn (0.000, 0.500, 0.000)
Mn (0.500, 0.000, 0.000)
Cd (0.000, 0.000, 0.500)
Sn (0.500, 0.500, 0.000)
O (0.500, 0.500, 0.500)